Record 1
# PmEr2Ga (PBE-GGA, optimized geometry)
# excess energy over the best structure of this formula in the dataset = 0 meV per atom
# crystal system = tetragonal
# DFT total energy = -0.332 Ry/atom
# ΔH_f (0 K) = -1.16 eV per formula unit
# size of the total moment = 0.000 μB per cell
data_PmEr2Ga
_chemical_formula_sum 'Pm1 Er2 Ga1'
_symmetry_space_group_name_H-M 'P 4/m m m'
_symmetry_Int_Tables_number 123
_symmetry_space_group_name_Hall '-P 4 2'
_cell_length_a 3.515
_cell_length_b 3.515
_cell_length_c 8.901
_cell_angle_alpha 90.00
_cell_angle_beta 90.00
_cell_angle_gamma 90.00
loop_
_atom_site_label
_atom_site_type_symbol
_atom_site_fract_x
_atom_site_fract_y
_atom_site_fract_z
Pm1 Pm 0.000 0.000 0.000
Er1 Er 0.500 0.500 0.294
Ga1 Ga 0.000 0.000 0.500



Record 2
# PmEr4Ga4 (PBE-GGA, optimized geometry)
# crystal system = tetragonal
# DFT total energy = -0.312 Ry/atom
# ΔH_f (0 K) = -3.15 eV per formula unit
# size of the total moment = 0.000 μB per cell
data_PmEr4Ga4
_chemical_formula_sum 'Pm2 Er8 Ga8'
_symmetry_space_group_name_H-M 'P 42/n'
_symmetry_Int_Tables_number 86
_cell_length_a 9.138
_cell_length_b 9.138
_cell_length_c 5.862
_cell_angle_alpha 90.00
_cell_angle_beta 90.00
_cell_angle_gamma 90.00
loop_
_symmetry_equiv_pos_as_xyz
'x,y,z'
'-x,-y,-z'
'-y,x+1/2,z+1/2'
'y,-x+1/2,-z+1/2'
'-x+1/2,-y+1/2,z'
'x+1/2,y+1/2,-z'
'y+1/2,-x,z+1/2'
'-y+1/2,x,-z+1/2'
loop_
_atom_site_label
_atom_site_type_symbol
_atom_site_fract_x
_atom_site_fract_y
_atom_site_fract_z
Pm1 Pm 0.250 0.250 0.250
Er1 Er 0.077 0.655 0.130
Ga1 Ga 0.029 0.613 0.624



Record 3
# Pm2ErGa (PBE-GGA, optimized geometry)
# excess energy over the best structure of this formula in the dataset = 109 meV per atom
# crystal system = trigonal
# DFT total energy = -0.325 Ry/atom
# ΔH_f (0 K) = -0.61 eV per formula unit
# size of the total moment = 2.213 μB per cell
data_Pm2ErGa
_chemical_formula_sum 'Pm6 Er3 Ga3'
_symmetry_space_group_name_H-M 'R 3 m'
_symmetry_Int_Tables_number 160
_symmetry_space_group_name_Hall 'R 3 -2"'
_cell_length_a 3.6828
_cell_length_b 3.6828
_cell_length_c 31.0494
_cell_angle_alpha 90.00
_cell_angle_beta 90.00
_cell_angle_gamma 120.00
loop_
_atom_site_label
_atom_site_type_symbol
_atom_site_fract_x
_atom_site_fract_y
_atom_site_fract_z
Pm1 Pm 0.0000 0.0000 0.0000
Pm2 Pm 0.0000 0.0000 0.1893
Er1 Er 0.0000 0.0000 0.4282
Ga1 Ga 0.0000 0.0000 0.5943



Record 4
# PmEr2Ga6 (PBE-GGA, optimized geometry)
# excess energy over the best structure of this formula in the dataset = 0 meV per atom
# crystal system = hexagonal
# DFT total energy = -0.308 Ry/atom
# ΔH_f (0 K) = -5.64 eV per formula unit
# size of the total moment = 0.000 μB per cell
data_PmEr2Ga6
_chemical_formula_sum 'Pm1 Er2 Ga6'
_symmetry_space_group_name_H-M 'P 6/m m m'
_symmetry_Int_Tables_number 191
_symmetry_space_group_name_Hall '-P 6 2'
_cell_length_a 7.3009
_cell_length_b 7.3009
_cell_length_c 4.1374
_cell_angle_alpha 90.00
_cell_angle_beta 90.00
_cell_angle_gamma 120.00
loop_
_atom_site_label
_atom_site_type_symbol
_atom_site_fract_x
_atom_site_fract_y
_atom_site_fract_z
Pm1 Pm 0.0000 0.0000 0.0000
Er1 Er 0.3333 0.6667 0.0000
Ga1 Ga 0.0000 0.3346 0.5000



Record 5
# Pm4ErGa4 (PBE-GGA, optimized geometry)
# crystal system = tetragonal
# DFT total energy = -0.320 Ry/atom
# ΔH_f (0 K) = -3.53 eV per formula unit
# size of the total moment = 0.000 μB per cell
data_Pm4ErGa4
_chemical_formula_sum 'Pm8 Er2 Ga8'
_symmetry_space_group_name_H-M 'I 4/m'
_symmetry_Int_Tables_number 87
_symmetry_space_group_name_Hall '-I 4'
_cell_length_a 10.254
_cell_length_b 10.254
_cell_length_c 4.756
_cell_angle_alpha 90.00
_cell_angle_beta 90.00
_cell_angle_gamma 90.00
loop_
_atom_site_label
_atom_site_type_symbol
_atom_site_fract_x
_atom_site_fract_y
_atom_site_fract_z
Pm1 Pm 0.133 0.354 0.000
Er1 Er 0.000 0.000 0.000
Ga1 Ga 0.070 0.168 0.500



Record 6
# PmEr3Ga3 (PBE-GGA, optimized geometry)
# crystal system = hexagonal
# DFT total energy = -0.321 Ry/atom
# ΔH_f (0 K) = -3.09 eV per formula unit
# size of the total moment = 0.000 μB per cell
data_PmEr3Ga3
_chemical_formula_sum 'Pm2 Er6 Ga6'
_symmetry_space_group_name_H-M 'P 63/m'
_symmetry_Int_Tables_number 176
_symmetry_space_group_name_Hall '-P 6c'
_cell_length_a 9.1540
_cell_length_b 9.1540
_cell_length_c 4.7702
_cell_angle_alpha 90.00
_cell_angle_beta 90.00
_cell_angle_gamma 120.00
loop_
_atom_site_label
_atom_site_type_symbol
_atom_site_fract_x
_atom_site_fract_y
_atom_site_fract_z
Pm1 Pm 0.3333 0.6667 0.2500
Er1 Er 0.0169 0.2543 0.7500
Ga1 Ga 0.0585 0.6091 0.7500



Record 7
# Pm2ErGa4 (PBE-GGA, optimized geometry)
# crystal system = orthorhombic
# DFT total energy = -0.319 Ry/atom
# ΔH_f (0 K) = -4.21 eV per formula unit
# size of the total moment = 1.184 μB per cell
data_Pm2ErGa4
_chemical_formula_sum 'Pm4 Er2 Ga8'
_symmetry_space_group_name_H-M 'I m m m'
_symmetry_Int_Tables_number 71
_symmetry_space_group_name_Hall '-I 2 2'
_cell_length_a 4.174
_cell_length_b 4.292
_cell_length_c 18.628
_cell_angle_alpha 90.00
_cell_angle_beta 90.00
_cell_angle_gamma 90.00
loop_
_atom_site_label
_atom_site_type_symbol
_atom_site_fract_x
_atom_site_fract_y
_atom_site_fract_z
Pm1 Pm 0.000 0.000 0.184
Er1 Er 0.000 0.500 0.500
Ga1 Ga 0.000 0.000 0.359
Ga2 Ga 0.000 0.500 0.065



Record 8
# PmErGa (PBE-GGA, optimized geometry)
# excess energy over the best structure of this formula in the dataset = 172 meV per atom
# crystal system = cubic
# DFT total energy = -0.320 Ry/atom
# ΔH_f (0 K) = -0.71 eV per formula unit
# size of the total moment = 0.009 μB per cell
data_PmErGa
_chemical_formula_sum 'Pm4 Er4 Ga4'
_symmetry_space_group_name_H-M 'F -4 3 m'
_symmetry_Int_Tables_number 216
_symmetry_space_group_name_Hall 'F -4 2 3'
_cell_length_a 7.070
_cell_length_b 7.070
_cell_length_c 7.070
_cell_angle_alpha 90.00
_cell_angle_beta 90.00
_cell_angle_gamma 90.00
loop_
_atom_site_label
_atom_site_type_symbol
_atom_site_fract_x
_atom_site_fract_y
_atom_site_fract_z
Pm1 Pm 0.000 0.000 0.000
Er1 Er 0.000 0.000 0.500
Ga1 Ga 0.250 0.250 0.750